EuErZnAu: relaxed, PBE-GGA.

* calculated formation energy: -0.5260 eV/atom

CIF file:
```
data_EuErZnAu
_cell_length_a 7.2818
_cell_length_b 7.2818
_cell_length_c 7.2818
_cell_angle_alpha 90.00
_cell_angle_beta 90.00
_cell_angle_gamma 90.00
_symmetry_space_group_name_H-M 'F -4 3 m'
_symmetry_Int_Tables_number 216
_symmetry_space_group_name_Hall 'F -4 2 3'
loop_
_atom_site_label
_atom_site_type_symbol
_atom_site_fract_x
_atom_site_fract_y
_atom_site_fract_z
Eu1 Eu 0.0000 0.0000 0.0000
Er1 Er 0.0000 0.0000 0.5000
Zn1 Zn 0.2500 0.2500 0.7500
Au1 Au 0.2500 0.2500 0.2500
```

Er2Au5F21: relaxed, PBE-GGA.

* ΔE_f (raw): -1.9058 eV per atom

CIF file:
```
data_Er2Au5F21
_cell_length_a 8.0465
_cell_length_b 9.1822
_cell_length_c 12.0151
_cell_angle_alpha 89.22
_cell_angle_beta 88.74
_cell_angle_gamma 88.88
_symmetry_space_group_name_H-M 'P -1'
_symmetry_Int_Tables_number 2
loop_
_symmetry_equiv_pos_as_xyz
'x,y,z'
'-x,-y,-z'
loop_
_atom_site_label
_atom_site_type_symbol
_atom_site_fract_x
_atom_site_fract_y
_atom_site_fract_z
Er1 Er 0.1610 0.1831 0.0002
Er2 Er 0.1683 0.3169 0.4963
Au1 Au 0.0611 0.5083 0.7911
Au2 Au 0.0634 0.9839 0.7028
Au3 Au 0.3269 0.7186 0.4049
Au4 Au 0.3373 0.7794 0.0926
Au5 Au 0.4899 0.7504 0.7541
F1 F 0.0000 0.0000 0.0000
F2 F 0.0000 0.5000 0.5000
F3 F 0.0113 0.1374 0.4200
F4 F 0.0502 0.3894 0.0846
F5 F 0.0732 0.1256 0.1884
F6 F 0.0837 0.7307 0.3841
F7 F 0.0857 0.3842 0.3105
F8 F 0.0956 0.7447 0.0861
F9 F 0.1577 0.1068 0.8170
F10 F 0.1891 0.4087 0.6722
F11 F 0.1993 0.0951 0.5943
F12 F 0.2022 0.3965 0.8953
F13 F 0.3099 0.7252 0.8625
F14 F 0.3213 0.9814 0.0301
F15 F 0.3249 0.7579 0.6387
F16 F 0.3286 0.5085 0.4512
F17 F 0.3320 0.9175 0.3504
F18 F 0.3344 0.2185 0.3620
F19 F 0.3509 0.2596 0.1213
F20 F 0.3598 0.5884 0.1616
F21 F 0.4221 0.1928 0.8986
F22 F 0.4308 0.2818 0.5753
```

Er2AuF: relaxed, PBE-GGA.

* ΔE_f (raw): -1.6427 eV per atom

CIF file:
```
data_Er2AuF
_cell_length_a 4.3304
_cell_length_b 4.3304
_cell_length_c 21.4520
_cell_angle_alpha 90.00
_cell_angle_beta 90.00
_cell_angle_gamma 120.00
_symmetry_space_group_name_H-M 'R -3 m'
_symmetry_Int_Tables_number 166
_symmetry_space_group_name_Hall '-R 3 2"'
loop_
_atom_site_label
_atom_site_type_symbol
_atom_site_fract_x
_atom_site_fract_y
_atom_site_fract_z
Er1 Er 0.0000 0.0000 0.1004
Au1 Au 0.0000 0.0000 0.5000
F1 F 0.0000 0.0000 0.0000
```

Er5Fe2Au: relaxed, PBE-GGA.

* calculated formation energy: -0.2759 eV/atom

CIF file:
```
data_Er5Fe2Au
_cell_length_a 7.2177
_cell_length_b 7.2177
_cell_length_c 14.1968
_cell_angle_alpha 90.00
_cell_angle_beta 90.00
_cell_angle_gamma 90.00
_symmetry_space_group_name_H-M 'I 4/m c m'
_symmetry_Int_Tables_number 140
_symmetry_space_group_name_Hall '-I 4 2c'
loop_
_atom_site_label
_atom_site_type_symbol
_atom_site_fract_x
_atom_site_fract_y
_atom_site_fract_z
Er1 Er 0.0000 0.0000 0.0000
Er2 Er 0.1750 0.3250 0.1384
Fe1 Fe 0.1085 0.3915 0.5000
Au1 Au 0.0000 0.0000 0.2500
```

ErTmFeAu: relaxed, PBE-GGA.

* calculated formation energy: -0.3250 eV/atom

CIF file:
```
data_ErTmFeAu
_cell_length_a 6.9173
_cell_length_b 6.9173
_cell_length_c 6.9173
_cell_angle_alpha 90.00
_cell_angle_beta 90.00
_cell_angle_gamma 90.00
_symmetry_space_group_name_H-M 'F -4 3 m'
_symmetry_Int_Tables_number 216
_symmetry_space_group_name_Hall 'F -4 2 3'
loop_
_atom_site_label
_atom_site_type_symbol
_atom_site_fract_x
_atom_site_fract_y
_atom_site_fract_z
Er1 Er 0.0000 0.0000 0.0000
Tm1 Tm 0.0000 0.0000 0.5000
Fe1 Fe 0.2500 0.2500 0.2500
Au1 Au 0.2500 0.2500 0.7500
```

Er2Ga3Au4: relaxed, PBE-GGA.

* calculated formation energy: -0.5889 eV/atom

CIF file:
```
data_Er2Ga3Au4
_cell_length_a 5.7967
_cell_length_b 15.6684
_cell_length_c 7.7842
_cell_angle_alpha 90.00
_cell_angle_beta 90.00
_cell_angle_gamma 90.00
_symmetry_space_group_name_H-M 'C m c e'
_symmetry_Int_Tables_number 64
_symmetry_space_group_name_Hall '-C 2ac 2'
loop_
_atom_site_label
_atom_site_type_symbol
_atom_site_fract_x
_atom_site_fract_y
_atom_site_fract_z
Er1 Er 0.0000 0.1066 0.0972
Ga1 Ga 0.0000 0.0000 0.5000
Ga2 Ga 0.2500 0.2308 0.7500
Au1 Au 0.0000 0.1758 0.4712
Au2 Au 0.2500 0.0580 0.7500
```